(1)
A relaxed HgIrCl2 crystal. Source: the Alexandria database, functional GGA-PBEsol.

Summary:
The formation energy (no corrections) comes out at 0.1500 eV per atom. Its space-group type is Cmm2 (35). The distance to the lowest polymorph of the same formula is 0 meV per atom. The total energy comes out at -3.451 eV per atom.

Lattice parameters (Å, degrees): 3.3047 3.3047 8.4360 90.00 90.00 117.87
Positions (direct):
Ir1 0.5000 0.5000 0.2436
Hg1 0.0000 0.0000 0.4858
Cl1 0.5000 0.5000 0.7094
Cl2 0.0000 0.0000 0.0611

---

(2)
A relaxed HgIrCl crystal. Source: the Alexandria database, functional GGA-PBEsol.

Summary:
The formation energy (no corrections) comes out at 0.5648 eV per atom. Its space-group type is P3m1 (156). The distance to the lowest polymorph of the same formula is 0 meV per atom. The total energy comes out at -3.568 eV per atom.

Lattice parameters (Å, degrees): 3.1275 3.1275 6.2874 90.00 90.00 120.00
Positions (direct):
Cl1 0.0000 0.0000 0.0332
Ir1 0.3333 0.6667 0.3157
Hg1 0.6667 0.3333 0.6510

---

(3)
A relaxed HgIrCl2 crystal. Source: the Alexandria database, functional GGA-PBEsol.

Summary:
The formation energy (no corrections) comes out at 0.7456 eV per atom. Its space-group type is I-4m2 (119). The distance to the lowest polymorph of the same formula is 596 meV per atom. The total energy comes out at -2.856 eV per atom.

Lattice parameters (Å, degrees): 3.7324 3.7324 5.8382 108.64 108.64 90.00
Positions (direct):
Ir1 0.2500 0.7500 0.5000
Cl1 0.0000 0.0000 0.0000
Cl2 0.7500 0.2500 0.5000
Hg1 0.5000 0.5000 0.0000

---

(4)
A relaxed HgIrCl3 crystal. Source: the Alexandria database, functional GGA-PBEsol.

Summary:
The formation energy (no corrections) comes out at 0.0135 eV per atom. Its space-group type is Pm-3m (221). The total energy comes out at -3.269 eV per atom.

Lattice parameters (Å, degrees): 4.7467 4.7467 4.7467 90.00 90.00 90.00
Positions (direct):
Cl1 0.5000 0.0000 0.0000
Cl2 0.0000 0.0000 0.5000
Cl3 0.0000 0.5000 0.0000
Ir1 0.0000 0.0000 0.0000
Hg1 0.5000 0.5000 0.5000

---

(5)
A relaxed HgIr3Cl crystal. Source: the Alexandria database, functional GGA-PBEsol.

Summary:
The formation energy (no corrections) comes out at 1.5180 eV per atom. Its space-group type is Pm-3m (221). The total energy comes out at -4.891 eV per atom.

Lattice parameters (Å, degrees): 4.4048 4.4048 4.4048 90.00 90.00 90.00
Positions (direct):
Hg1 0.5000 0.5000 0.5000
Ir1 0.0000 0.5000 0.0000
Ir2 0.5000 0.0000 0.0000
Ir3 0.0000 0.0000 0.5000
Cl1 0.0000 0.0000 0.0000

---

(6)
A relaxed KHgIrCl2 crystal. Source: the Alexandria database, functional GGA-PBEsol.

Summary:
The formation energy (no corrections) comes out at 1.1056 eV per atom. Its space-group type is P4/mmm (123). The total energy comes out at -2.002 eV per atom.

Lattice parameters (Å, degrees): 5.3971 5.3971 5.2360 90.00 90.00 90.00
Positions (direct):
Cl1 0.0000 0.5000 0.0000
Cl2 0.5000 0.0000 0.0000
Ir1 0.0000 0.0000 0.5000
Hg1 0.5000 0.5000 0.5000
K1 0.0000 0.0000 0.0000

---

(7)
A relaxed RbHgIrCl2 crystal. Source: the Alexandria database, functional GGA-PBEsol.

Summary:
The formation energy (no corrections) comes out at 1.1486 eV per atom. Its space-group type is P4/mmm (123). The total energy comes out at -1.938 eV per atom.

Lattice parameters (Å, degrees): 5.8922 5.8922 6.2021 90.00 90.00 90.00
Positions (direct):
Cl1 0.0000 0.5000 0.0000
Cl2 0.5000 0.0000 0.0000
Ir1 0.5000 0.5000 0.5000
Rb1 0.0000 0.0000 0.0000
Hg1 0.0000 0.0000 0.5000

---

(8)
A relaxed K2HgCl crystal. Source: the Alexandria database, functional GGA-PBEsol.

Summary:
The formation energy (no corrections) comes out at -0.8065 eV per atom. Its space-group type is Immm (71). The distance to the lowest polymorph of the same formula is 135 meV per atom. The total energy comes out at -2.017 eV per atom.

Lattice parameters (Å, degrees): 4.4239 6.4049 6.4049 63.30 69.80 69.80
Positions (direct):
Hg1 0.0000 0.5000 0.5000
K1 0.7970 0.2030 0.2030
K2 0.2030 0.7970 0.7970
Cl1 0.5000 0.0000 0.0000

---

Copy entry 5 word for word.
A relaxed HgIr3Cl crystal. Source: the Alexandria database, functional GGA-PBEsol.

Summary:
The formation energy (no corrections) comes out at 1.5180 eV per atom. Its space-group type is Pm-3m (221). The total energy comes out at -4.891 eV per atom.

Lattice parameters (Å, degrees): 4.4048 4.4048 4.4048 90.00 90.00 90.00
Positions (direct):
Hg1 0.5000 0.5000 0.5000
Ir1 0.0000 0.5000 0.0000
Ir2 0.5000 0.0000 0.0000
Ir3 0.0000 0.0000 0.5000
Cl1 0.0000 0.0000 0.0000